# 1
MnNiMoPt after structural relaxation. Source: the Alexandria database, functional PBE.

Summary:
energy = -8.020 eV per atom
density = 12.3 g cm⁻³
Fermi-level density of states = 1.18 states/eV/atom

POSCAR file:
```
MnNiMoPt
1.0
0.000 3.009 3.009
3.009 0.000 3.009
3.009 3.009 0.000
Mn Ni Mo Pt
1 1 1 1
direct
0.000 0.000 0.000
0.500 0.500 0.500
0.250 0.250 0.250
0.750 0.750 0.750
```


# 2
MnNiMoRh after structural relaxation. Source: the Alexandria database, functional PBE.

Summary:
energy = -8.232 eV per atom
density = 9.7 g cm⁻³
Fermi-level density of states = 1.33 states/eV/atom

POSCAR file:
```
MnNiMoRh
1.0
0.000 2.987 2.987
2.987 0.000 2.987
2.987 2.987 0.000
Mn Ni Mo Rh
1 1 1 1
direct
0.000 0.000 0.000
0.500 0.500 0.500
0.250 0.250 0.250
0.750 0.750 0.750
```


# 3
MnNiMoRu after structural relaxation. Source: the Alexandria database, functional PBE.

Summary:
energy = -8.658 eV per atom
density = 9.6 g cm⁻³
Fermi-level density of states = 0.75 states/eV/atom

POSCAR file:
```
MnNiMoRu
1.0
0.000 2.999 2.999
2.999 0.000 2.999
2.999 2.999 0.000
Mn Ni Mo Ru
1 1 1 1
direct
0.000 0.000 0.000
0.250 0.250 0.250
0.750 0.750 0.750
0.500 0.500 0.500
```


# 4
Mn2NiSnMo after structural relaxation. Source: the Alexandria database, functional PBE.

Summary:
energy = -6.450 eV per atom
density = 6.0 g cm⁻³
Fermi-level density of states = 0.90 states/eV/atom

POSCAR file:
```
Mn2NiSnMo
1.0
4.523 0.000 0.000
0.000 4.523 0.000
0.000 0.000 5.144
Mn Ni Sn Mo
2 1 1 1
direct
0.000 0.500 0.000
0.500 0.000 0.000
0.000 0.000 0.500
0.500 0.500 0.500
0.500 0.500 0.000
```


# 5
Ta2MnNiMo after structural relaxation. Source: the Alexandria database, functional PBE.

Summary:
energy = -8.068 eV per atom
density = 9.5 g cm⁻³
Fermi-level density of states = 1.32 states/eV/atom

POSCAR file:
```
Ta2MnNiMo
1.0
4.747 0.000 0.000
0.000 4.747 0.000
0.000 0.000 4.431
Ta Mn Ni Mo
2 1 1 1
direct
0.000 0.500 0.000
0.500 0.000 0.000
0.000 0.000 0.500
0.500 0.500 0.500
0.500 0.500 0.000
```


# 6
MnTcNiMo after structural relaxation. Source: the Alexandria database, functional PBE.

Summary:
energy = -8.901 eV per atom
density = 9.3 g cm⁻³
Fermi-level density of states = 1.40 states/eV/atom

POSCAR file:
```
MnTcNiMo
1.0
0.000 3.017 3.017
3.017 0.000 3.017
3.017 3.017 0.000
Mn Tc Ni Mo
1 1 1 1
direct
0.000 0.000 0.000
0.500 0.500 0.500
0.250 0.250 0.250
0.750 0.750 0.750
```


# 7
MnVNiMo after structural relaxation. Source: the Alexandria database, functional PBE.

Summary:
energy = -8.692 eV per atom
density = 8.2 g cm⁻³
Fermi-level density of states = 1.51 states/eV/atom

POSCAR file:
```
MnVNiMo
1.0
0.000 2.973 2.973
2.973 0.000 2.973
2.973 2.973 0.000
Mn V Ni Mo
1 1 1 1
direct
0.000 0.000 0.000
0.500 0.500 0.500
0.250 0.250 0.250
0.750 0.750 0.750
```


# 8
NpMn2Mo after structural relaxation. Source: the Alexandria database, functional PBE.

Summary:
energy = -10.114 eV per atom
density = 11.8 g cm⁻³
Fermi-level density of states = 1.36 states/eV/atom

POSCAR file:
```
NpMn2Mo
1.0
1.411 0.815 9.008
-1.411 0.815 9.008
0.000 -1.629 9.008
Np Mn Mo
1 2 1
direct
0.000 0.000 0.000
0.242 0.242 0.242
0.758 0.758 0.758
0.500 0.500 0.500
```


# 9
NpMn4Mo after structural relaxation. Source: the Alexandria database, functional PBE.

Summary:
energy = -9.831 eV per atom
density = 11.2 g cm⁻³
Fermi-level density of states = 2.12 states/eV/atom

POSCAR file:
```
NpMn4Mo
1.0
0.000 3.447 3.447
3.447 0.000 3.447
3.447 3.447 0.000
Np Mn Mo
1 4 1
direct
0.000 0.000 0.000
0.375 0.375 0.375
0.375 0.375 0.874
0.375 0.874 0.375
0.874 0.375 0.375
0.750 0.750 0.750
```


# 10
NpMnMo after structural relaxation. Source: the Alexandria database, functional PBE.

Summary:
energy = -10.493 eV per atom
density = 12.9 g cm⁻³
Fermi-level density of states = 2.09 states/eV/atom

POSCAR file:
```
NpMnMo
1.0
-1.443 2.831 6.098
1.443 -2.831 6.098
1.443 2.831 -6.098
Np Mn Mo
2 2 2
direct
0.173 0.173 0.000
0.827 0.827 0.000
0.218 0.000 0.218
0.782 0.000 0.782
0.379 0.379 0.000
0.621 0.621 0.000
```